20
Lattice="-0.220 0.269 6.437 -7.224 0.024 2.024 -0.517 -7.037 2.548" Properties=species:S:1:pos:R:3 comment="NdErW2N6 (PBE, optimized geometry)" space_group=C2/c dos_at_fermi_per_ev_fu=0.0 raw_formation_energy_ev_per_atom=-0.956 pbc="T T T"
Nd -6.635 -0.586 3.684
Nd -1.326 -6.157 7.326
Er -2.494 -4.946 4.007
Er -5.467 -1.797 7.002
W -6.131 -4.283 5.082
W -2.878 -1.376 2.619
W -1.830 -2.460 5.928
W -5.083 -5.367 8.391
N -7.658 -5.362 5.062
N -1.722 0.094 2.610
N -0.303 -1.381 5.948
N -6.239 -6.837 8.400
N -6.592 -2.543 5.019
N -4.590 -0.828 2.511
N -1.369 -4.200 5.990
N -3.371 -5.916 8.499
N -4.936 -4.653 3.578
N -2.685 -2.467 4.232
N -3.025 -2.090 7.432
N -5.276 -4.277 6.778